# 1
First-principles (PBE) data for a relaxed structure of Cd2InIr, as listed in Alexandria via LeMat-Bulk.

## Properties
Magnetic moment   0.0 μB/f.u.
Formation enthalpy at 0 K   0.1103 eV per atom
DOS(E_F)   0.473 states/eV/atom
Raw total energy   -3.247 eV per atom

```
data_Cd2InIr
_symmetry_space_group_name_H-M 'P 4/m m m'
_symmetry_Int_Tables_number 123
_symmetry_space_group_name_Hall '-P 4 2'
_cell_length_a 4.148
_cell_length_b 4.148
_cell_length_c 4.421
_cell_angle_alpha 90.00
_cell_angle_beta 90.00
_cell_angle_gamma 90.00
loop_
_atom_site_label
_atom_site_fract_x
_atom_site_fract_y
_atom_site_fract_z
Cd1 0.000 0.500 0.000
In1 0.000 0.000 0.500
Ir1 0.500 0.500 0.500
```

# 2
First-principles (PBE) data for a relaxed structure of CdIn4Ir, as listed in Alexandria via LeMat-Bulk.

## Properties
Magnetic moment   0.0 μB/f.u.
Formation enthalpy at 0 K   0.6087 eV per atom
DOS(E_F)   0.810 states/eV/atom
Energy above the lowest structure with this stoichiometry   673 meV/atom
Raw total energy   -2.846 eV per atom

```
data_CdIn4Ir
_symmetry_space_group_name_H-M 'F -4 3 m'
_symmetry_Int_Tables_number 216
_symmetry_space_group_name_Hall 'F -4 2 3'
_cell_length_a 8.296
_cell_length_b 8.296
_cell_length_c 8.296
_cell_angle_alpha 90.00
_cell_angle_beta 90.00
_cell_angle_gamma 90.00
loop_
_atom_site_label
_atom_site_fract_x
_atom_site_fract_y
_atom_site_fract_z
Cd1 0.000 0.000 0.000
In1 0.124 0.124 0.624
Ir1 0.250 0.250 0.250
```

# 3
First-principles (PBE) data for a relaxed structure of CdInIr2, as listed in Alexandria via LeMat-Bulk.

## Properties
Magnetic moment   0.0 μB/f.u.
Formation enthalpy at 0 K   0.0939 eV per atom
DOS(E_F)   0.302 states/eV/atom
Raw total energy   -5.250 eV per atom

```
data_CdInIr2
_symmetry_space_group_name_H-M 'P 4/m m m'
_symmetry_Int_Tables_number 123
_symmetry_space_group_name_Hall '-P 4 2'
_cell_length_a 3.241
_cell_length_b 3.241
_cell_length_c 6.517
_cell_angle_alpha 90.00
_cell_angle_beta 90.00
_cell_angle_gamma 90.00
loop_
_atom_site_label
_atom_site_fract_x
_atom_site_fract_y
_atom_site_fract_z
Cd1 0.000 0.000 0.000
In1 0.000 0.000 0.500
Ir1 0.500 0.500 0.257
```

# 4
First-principles (PBE) data for a relaxed structure of Cd2InIr, as listed in Alexandria via LeMat-Bulk.

## Properties
Magnetic moment   0.0 μB/f.u.
Formation enthalpy at 0 K   0.1782 eV per atom
DOS(E_F)   0.360 states/eV/atom
Raw total energy   -3.179 eV per atom

```
data_Cd2InIr
_symmetry_space_group_name_H-M 'C m m m'
_symmetry_Int_Tables_number 65
_symmetry_space_group_name_Hall '-C 2 2'
_cell_length_a 5.705
_cell_length_b 8.477
_cell_length_c 3.203
_cell_angle_alpha 90.00
_cell_angle_beta 90.00
_cell_angle_gamma 90.00
loop_
_atom_site_label
_atom_site_fract_x
_atom_site_fract_y
_atom_site_fract_z
Cd1 0.250 0.250 0.000
In1 0.000 0.000 0.500
Ir1 0.000 0.500 0.500
```

# 5
First-principles (PBE) data for a relaxed structure of CdIn2Ir2, as listed in Alexandria via LeMat-Bulk.

## Properties
Magnetic moment   0.0 μB/f.u.
Formation enthalpy at 0 K   0.0457 eV per atom
DOS(E_F)   0.317 states/eV/atom
Raw total energy   -4.777 eV per atom

```
data_CdIn2Ir2
_symmetry_space_group_name_H-M 'P 4/m b m'
_symmetry_Int_Tables_number 127
_symmetry_space_group_name_Hall '-P 4 2ab'
_cell_length_a 7.889
_cell_length_b 7.889
_cell_length_c 3.028
_cell_angle_alpha 90.00
_cell_angle_beta 90.00
_cell_angle_gamma 90.00
loop_
_atom_site_label
_atom_site_fract_x
_atom_site_fract_y
_atom_site_fract_z
Cd1 0.000 0.000 0.000
In1 0.140 0.360 0.000
Ir1 0.158 0.658 0.500
```

# 6
First-principles (PBE) data for a relaxed structure of CdInIr2, as listed in Alexandria via LeMat-Bulk.

## Properties
Magnetic moment   0.0 μB/f.u.
Formation enthalpy at 0 K   0.1002 eV per atom
DOS(E_F)   0.381 states/eV/atom
Raw total energy   -5.244 eV per atom

```
data_CdInIr2
_symmetry_space_group_name_H-M 'P 4/m m m'
_symmetry_Int_Tables_number 123
_symmetry_space_group_name_Hall '-P 4 2'
_cell_length_a 4.584
_cell_length_b 4.584
_cell_length_c 3.249
_cell_angle_alpha 90.00
_cell_angle_beta 90.00
_cell_angle_gamma 90.00
loop_
_atom_site_label
_atom_site_fract_x
_atom_site_fract_y
_atom_site_fract_z
Cd1 0.000 0.000 0.000
In1 0.500 0.500 0.000
Ir1 0.000 0.500 0.500
```

# 7
First-principles (PBE) data for a relaxed structure of Cd2InIr, as listed in Alexandria via LeMat-Bulk.

## Properties
Magnetic moment   0.0 μB/f.u.
Formation enthalpy at 0 K   0.2780 eV per atom
DOS(E_F)   0.615 states/eV/atom
Raw total energy   -3.079 eV per atom

```
data_Cd2InIr
_symmetry_space_group_name_H-M 'I -4 2 d'
_symmetry_Int_Tables_number 122
_symmetry_space_group_name_Hall 'I -4 2bw'
_cell_length_a 4.033
_cell_length_b 4.033
_cell_length_c 20.565
_cell_angle_alpha 90.00
_cell_angle_beta 90.00
_cell_angle_gamma 90.00
loop_
_atom_site_label
_atom_site_fract_x
_atom_site_fract_y
_atom_site_fract_z
Cd1 0.234 0.250 0.125
In1 0.000 0.000 0.500
Ir1 0.000 0.000 0.000
```

# 8
First-principles (PBE) data for a relaxed structure of CdInIr2, as listed in Alexandria via LeMat-Bulk.

## Properties
Magnetic moment   0.0 μB/f.u.
Formation enthalpy at 0 K   0.2551 eV per atom
DOS(E_F)   0.540 states/eV/atom
Raw total energy   -5.089 eV per atom

```
data_CdInIr2
_symmetry_space_group_name_H-M 'I m m m'
_symmetry_Int_Tables_number 71
_symmetry_space_group_name_Hall '-I 2 2'
_cell_length_a 3.012
_cell_length_b 4.984
_cell_length_c 9.263
_cell_angle_alpha 90.00
_cell_angle_beta 90.00
_cell_angle_gamma 90.00
loop_
_atom_site_label
_atom_site_fract_x
_atom_site_fract_y
_atom_site_fract_z
Cd1 0.000 0.000 0.000
In1 0.000 0.000 0.500
Ir1 0.000 0.500 0.243
```

# 9
First-principles (PBE) data for a relaxed structure of CdInIr2, as listed in Alexandria via LeMat-Bulk.

## Properties
Magnetic moment   0.0 μB/f.u.
Formation enthalpy at 0 K   0.5833 eV per atom
DOS(E_F)   1.202 states/eV/atom
Raw total energy   -4.761 eV per atom

```
data_CdInIr2
_symmetry_space_group_name_H-M 'I -4 2 d'
_symmetry_Int_Tables_number 122
_symmetry_space_group_name_Hall 'I -4 2bw'
_cell_length_a 7.433
_cell_length_b 7.433
_cell_length_c 5.509
_cell_angle_alpha 90.00
_cell_angle_beta 90.00
_cell_angle_gamma 90.00
loop_
_atom_site_label
_atom_site_fract_x
_atom_site_fract_y
_atom_site_fract_z
Cd1 0.000 0.000 0.000
In1 0.000 0.000 0.500
Ir1 0.243 0.750 0.625
```

# 10
First-principles (PBE) data for a relaxed structure of Cd2InIr, as listed in Alexandria via LeMat-Bulk.

## Properties
Magnetic moment   0.0 μB/f.u.
Formation enthalpy at 0 K   -0.0498 eV per atom
DOS(E_F)   0.253 states/eV/atom
Raw total energy   -3.407 eV per atom

```
data_Cd2InIr
_symmetry_space_group_name_H-M 'I m m m'
_symmetry_Int_Tables_number 71
_symmetry_space_group_name_Hall '-I 2 2'
_cell_length_a 2.986
_cell_length_b 4.553
_cell_length_c 12.830
_cell_angle_alpha 90.00
_cell_angle_beta 90.00
_cell_angle_gamma 90.00
loop_
_atom_site_label
_atom_site_fract_x
_atom_site_fract_y
_atom_site_fract_z
Cd1 0.000 0.000 0.189
In1 0.000 0.500 0.000
Ir1 0.000 0.500 0.500
```

# 11
First-principles (PBE) data for a relaxed structure of CdInIr2, as listed in Alexandria via LeMat-Bulk.

## Properties
Magnetic moment   0.0 μB/f.u.
Formation enthalpy at 0 K   0.2090 eV per atom
DOS(E_F)   0.642 states/eV/atom
Raw total energy   -5.135 eV per atom

```
data_CdInIr2
_symmetry_space_group_name_H-M 'P m m 2'
_symmetry_Int_Tables_number 25
_cell_length_a 2.914
_cell_length_b 4.059
_cell_length_c 5.859
_cell_angle_alpha 90.00
_cell_angle_beta 90.00
_cell_angle_gamma 90.00
loop_
_symmetry_equiv_pos_as_xyz
'x,y,z'
'-x,-y,z'
'-x,y,z'
'x,-y,z'
loop_
_atom_site_label
_atom_site_fract_x
_atom_site_fract_y
_atom_site_fract_z
Cd1 0.000 0.000 0.000
In1 0.500 0.500 0.297
Ir1 0.000 0.000 0.521
Ir2 0.500 0.500 0.774
```

# 12
First-principles (PBE) data for a relaxed structure of CdInIr2, as listed in Alexandria via LeMat-Bulk.

## Properties
Magnetic moment   0.0 μB/f.u.
Formation enthalpy at 0 K   0.1966 eV per atom
DOS(E_F)   1.414 states/eV/atom
Raw total energy   -5.147 eV per atom

```
data_CdInIr2
_symmetry_space_group_name_H-M 'P 4 m m'
_symmetry_Int_Tables_number 99
_cell_length_a 2.918
_cell_length_b 2.918
_cell_length_c 8.530
_cell_angle_alpha 90.00
_cell_angle_beta 90.00
_cell_angle_gamma 90.00
loop_
_symmetry_equiv_pos_as_xyz
'x,y,z'
'-y,x,z'
'-x,-y,z'
'y,-x,z'
'-x,y,z'
'y,x,z'
'x,-y,z'
'-y,-x,z'
loop_
_atom_site_label
_atom_site_fract_x
_atom_site_fract_y
_atom_site_fract_z
Cd1 0.000 0.000 0.000
In1 0.500 0.500 0.318
Ir1 0.000 0.000 0.557
Ir2 0.500 0.500 0.762
```

# 13
First-principles (PBE) data for a relaxed structure of Cd2InIr, as listed in Alexandria via LeMat-Bulk.

## Properties
Magnetic moment   0.2 μB/f.u.
Formation enthalpy at 0 K   0.2273 eV per atom
DOS(E_F)   0.639 states/eV/atom
Raw total energy   -3.130 eV per atom

```
data_Cd2InIr
_symmetry_space_group_name_H-M 'R -3 m'
_symmetry_Int_Tables_number 166
_symmetry_space_group_name_Hall '-R 3 2"'
_cell_length_a 3.1304
_cell_length_b 3.1304
_cell_length_c 28.5480
_cell_angle_alpha 90.00
_cell_angle_beta 90.00
_cell_angle_gamma 120.00
loop_
_atom_site_label
_atom_site_fract_x
_atom_site_fract_y
_atom_site_fract_z
Cd1 0.0000 0.0000 0.2422
In1 0.0000 0.0000 0.0000
Ir1 0.0000 0.0000 0.5000
```

# 14
First-principles (PBE) data for a relaxed structure of CdInIr4, as listed in Alexandria via LeMat-Bulk.

## Properties
Magnetic moment   0.0 μB/f.u.
Formation enthalpy at 0 K   0.2434 eV per atom
DOS(E_F)   0.876 states/eV/atom
Raw total energy   -6.273 eV per atom

```
data_CdInIr4
_symmetry_space_group_name_H-M 'F -4 3 m'
_symmetry_Int_Tables_number 216
_symmetry_space_group_name_Hall 'F -4 2 3'
_cell_length_a 7.470
_cell_length_b 7.470
_cell_length_c 7.470
_cell_angle_alpha 90.00
_cell_angle_beta 90.00
_cell_angle_gamma 90.00
loop_
_atom_site_label
_atom_site_fract_x
_atom_site_fract_y
_atom_site_fract_z
Cd1 0.000 0.000 0.000
In1 0.250 0.250 0.750
Ir1 0.125 0.125 0.375
```